The following is a GGA-PBE calculation of an optimized crystal structure of SnTe2Au, from Alexandria.

Results
Raw formation energy   -0.04 eV per atom
Volume   145.6 Å³/f.u.
Spin magnetization   0.00 μB/f.u.

Cell: 4.6081 4.6081 7.9186 Å, 90.00 90.00 120.00°
Space group P3m1 (No. 156)
Unique sites:
Sn  0.0000  0.0000  0.0000 (multiplicity 1)
Te  0.0000  0.0000  0.3919 (multiplicity 1)
Te  0.3333  0.6667  0.8143 (multiplicity 1)
Au  0.3333  0.6667  0.4423 (multiplicity 1)